No. 1
Computed, not measured: a geometry-optimized DySe2O5 structure at the PBE-GGA level of DFT.

Cell and atoms, written as POSCAR:
```
DySe2O5
1.0
-6.213 -1.824 2.432
1.015 -6.791 -2.501
4.479 -2.778 9.359
Dy Se O
4 8 20
direct
0.750 0.000 0.933
0.250 0.500 0.567
0.250 0.000 0.067
0.750 0.500 0.433
0.028 0.375 0.859
0.528 0.125 0.641
0.972 0.875 0.641
0.472 0.625 0.859
0.972 0.625 0.141
0.472 0.875 0.359
0.028 0.125 0.359
0.528 0.375 0.141
0.250 0.000 0.430
0.750 0.500 0.070
0.750 0.000 0.570
0.250 0.500 0.930
0.638 0.323 0.281
0.138 0.177 0.219
0.362 0.823 0.219
0.862 0.677 0.281
0.362 0.677 0.719
0.862 0.823 0.781
0.638 0.177 0.781
0.138 0.323 0.719
0.038 0.342 0.435
0.538 0.158 0.065
0.962 0.842 0.065
0.462 0.658 0.435
0.962 0.658 0.565
0.462 0.842 0.935
0.038 0.158 0.935
0.538 0.342 0.565
```

## Properties
Total magnetization in μB per cell: 0.00
Energy relative to the elements, uncorrected in eV/atom: -1.487
Crystal system: orthorhombic
Fermi-level density of states in states/eV/cell: 12.398

---

No. 2
Computed, not measured: a geometry-optimized DySe3O9 structure at the PBE-GGA level of DFT.

Cell and atoms, written as POSCAR:
```
DySe3O9
1.0
7.687 0.000 3.235
3.487 7.194 2.465
0.611 0.008 9.298
Dy Se O
2 6 18
direct
0.016 0.492 0.001
0.491 0.992 0.501
0.870 0.538 0.640
0.952 0.038 0.140
0.993 0.972 0.800
0.234 0.472 0.300
0.540 0.226 0.749
0.485 0.726 0.249
0.291 0.249 0.380
0.080 0.749 0.880
0.343 0.314 0.911
0.432 0.814 0.411
0.191 0.026 0.709
0.073 0.526 0.209
0.717 0.695 0.131
0.457 0.195 0.631
0.747 0.033 0.294
0.927 0.533 0.794
0.683 0.747 0.628
0.942 0.247 0.128
0.489 0.508 0.311
0.692 0.008 0.811
0.664 0.355 0.656
0.326 0.855 0.156
0.853 0.103 0.967
0.078 0.603 0.467
```

## Properties
Total magnetization in μB per cell: 1.97
Energy relative to the elements, uncorrected in eV/atom: -1.177
Crystal system: monoclinic

---

No. 3
Computed, not measured: a geometry-optimized Dy2SiSeO4 structure at the PBE-GGA level of DFT.

Cell and atoms, written as POSCAR:
```
Dy2SiSeO4
1.0
6.062 0.000 0.000
0.000 6.984 0.000
0.000 0.000 10.854
Dy Si Se O
8 4 4 16
direct
0.609 0.250 0.500
0.609 0.250 0.000
0.391 0.750 0.500
0.391 0.750 0.000
0.866 0.529 0.750
0.866 0.971 0.250
0.134 0.029 0.750
0.134 0.471 0.250
0.115 0.250 0.500
0.885 0.750 0.500
0.885 0.750 0.000
0.115 0.250 0.000
0.572 0.870 0.750
0.572 0.630 0.250
0.428 0.370 0.750
0.428 0.130 0.250
0.278 0.431 0.032
0.278 0.069 0.968
0.722 0.931 0.468
0.722 0.569 0.532
0.722 0.569 0.968
0.722 0.931 0.032
0.278 0.069 0.532
0.278 0.431 0.468
0.052 0.740 0.121
0.052 0.740 0.379
0.948 0.240 0.379
0.948 0.260 0.621
0.948 0.260 0.879
0.948 0.240 0.121
0.052 0.760 0.621
0.052 0.760 0.879
```

## Properties
Total magnetization in μB per cell: 0.00
Energy relative to the elements, uncorrected in eV/atom: -3.002
Crystal system: orthorhombic
Fermi-level density of states in states/eV/cell: 0.000